Entry 1:
Material: Li3PO4
Method: DFT, PBE
State: optimized geometry Values from VASP.

## Properties
V = 10.1 Å³/atom
VASP energy = -6.27 eV/atom
excess energy over the best structure of this formula in the dataset = 0 meV per atom
uncorrected formation energy = -2402 meV per atom

The structure in Quantum ESPRESSO input format:
```
&SYSTEM
  ibrav = 0, nat = 16, ntyp = 3
/
ATOMIC_SPECIES
Li 6.94 Li.upf
O 16.00 O.upf
P 30.97 P.upf
CELL_PARAMETERS angstrom
-1.9309 -4.4146 -0.9942
-0.8834 -0.7774 5.1677
-5.5811 2.5689 -0.5676
ATOMIC_POSITIONS crystal
Li 0.9916 0.6730 0.2474
Li 0.4916 0.3270 0.2526
Li 0.4916 0.3270 0.7474
Li 0.9916 0.6730 0.7526
Li 0.9902 0.1550 0.5000
Li 0.4902 0.8450 0.0000
O 0.8931 0.3133 0.2073
O 0.3931 0.6867 0.2927
O 0.3931 0.6867 0.7073
O 0.8931 0.3133 0.7927
O 0.8977 0.8967 0.0000
O 0.3977 0.1033 0.5000
O 0.8151 0.8183 0.5000
O 0.3151 0.1817 0.0000
P 0.9989 0.1758 0.0000
P 0.4989 0.8242 0.5000
```


Entry 2:
Material: Li2PO4
Method: DFT, PBE
State: optimized geometry Values from VASP.

## Properties
V = 8.9 Å³/atom
VASP energy = -5.80 eV/atom
excess energy over the best structure of this formula in the dataset = 320 meV per atom
uncorrected formation energy = -1647 meV per atom

The structure in Quantum ESPRESSO input format:
```
&SYSTEM
  ibrav = 0, nat = 7, ntyp = 3
/
ATOMIC_SPECIES
P 30.97 P.upf
O 16.00 O.upf
Li 6.94 Li.upf
CELL_PARAMETERS angstrom
-1.0460 3.2751 0.5595
-2.6239 -0.4544 -2.2455
-4.8513 -0.2111 3.0097
ATOMIC_POSITIONS crystal
P 0.0000 0.0000 0.0000
O 0.1561 0.1561 0.6877
O 0.8439 0.8439 0.3123
O 0.0000 0.5000 0.0000
O 0.5000 0.0000 0.0000
Li 0.3435 0.3435 0.3130
Li 0.6565 0.6565 0.6870
```


Entry 3:
Material: LiPO3
Method: DFT, PBE
State: optimized geometry Values from VASP.

## Properties
V = 8.7 Å³/atom
VASP energy = -4.13 eV/atom
uncorrected formation energy = 307 meV per atom

The structure in Quantum ESPRESSO input format:
```
&SYSTEM
  ibrav = 0, nat = 5, ntyp = 3
/
ATOMIC_SPECIES
P 30.97 P.upf
O 16.00 O.upf
Li 6.94 Li.upf
CELL_PARAMETERS angstrom
3.5212 0.0000 0.0000
0.0000 3.5212 0.0000
0.0000 0.0000 3.5212
ATOMIC_POSITIONS crystal
P 0.5000 0.5000 0.5000
O 0.0000 0.5000 0.0000
O 0.0000 0.0000 0.5000
O 0.5000 0.0000 0.0000
Li 0.0000 0.0000 0.0000
```


Entry 4:
Material: Li3PO4
Method: DFT, PBE
State: optimized geometry Values from VASP.

## Properties
V = 10.3 Å³/atom
VASP energy = -6.26 eV/atom
excess energy over the best structure of this formula in the dataset = 17 meV per atom
uncorrected formation energy = -2385 meV per atom

The structure in Quantum ESPRESSO input format:
```
&SYSTEM
  ibrav = 0, nat = 32, ntyp = 3
/
ATOMIC_SPECIES
Li 6.94 Li.upf
O 16.00 O.upf
P 30.97 P.upf
CELL_PARAMETERS angstrom
-4.8323 0.2061 -1.4152
-0.2593 -6.1320 -0.0077
-2.9799 0.1132 10.1912
ATOMIC_POSITIONS crystal
Li 0.3054 0.4867 0.1639
Li 0.1946 0.5133 0.6639
Li 0.6946 0.9867 0.8361
Li 0.8054 0.0133 0.3361
Li 0.6946 0.5133 0.8361
Li 0.8054 0.4867 0.3361
Li 0.3054 0.0133 0.1639
Li 0.1946 0.9867 0.6639
Li 0.1973 0.7500 0.4245
Li 0.3027 0.2500 0.9245
Li 0.8027 0.2500 0.5755
Li 0.6973 0.7500 0.0755
O 0.2082 0.0426 0.3454
O 0.2918 0.9574 0.8454
O 0.7918 0.5426 0.6546
O 0.7082 0.4574 0.1546
O 0.7918 0.9574 0.6546
O 0.7082 0.0426 0.1546
O 0.2082 0.4574 0.3454
O 0.2918 0.5426 0.8454
O 0.1175 0.2500 0.0816
O 0.3825 0.7500 0.5816
O 0.8825 0.7500 0.9184
O 0.6175 0.2500 0.4184
O 0.2977 0.7500 0.0541
O 0.2023 0.2500 0.5541
O 0.7023 0.2500 0.9459
O 0.7977 0.7500 0.4459
P 0.3091 0.2500 0.4162
P 0.1909 0.7500 0.9162
P 0.6909 0.7500 0.5838
P 0.8091 0.2500 0.0838
```